A plane-wave DFT calculation with GGA-PBE was carried out for an optimized crystal structure of TbYHoEr.

Results
As for the formation energy: 0.1398 eV/atom. For the polymorph energy (0 for the lowest one), the calculation gives 0.468 eV/f.u. As for the symmetry: F-43m (216).

Cell and atoms, written as extended XYZ:
```
4
Lattice="-4.599 0.976 3.143 0.386 0.033 5.642 -0.504 4.864 2.841" Properties=species:S:1:pos:R:3 pbc="T T T"
Tb -1.179 1.468 2.906
Ho -2.358 2.936 5.813
Er 0.000 0.000 0.000
Y -3.537 4.404 8.719
```

---

A plane-wave DFT calculation with GGA-PBE was carried out for an optimized crystal structure of AcDyMg2.

Results
As for the formation energy: -0.0639 eV/atom. As for the symmetry: P4/mmm (123).

Cell and atoms, written as extended XYZ:
```
4
Lattice="-2.890 2.112 -1.604 -0.635 -2.854 -2.614 -5.277 -3.415 5.011" Properties=species:S:1:pos:R:3 pbc="T T T"
Dy -1.762 -0.371 -2.109
Mg -4.122 -2.668 3.914
Mg -1.155 -0.748 1.097
Ac -4.401 -2.079 0.396
```

---

A plane-wave DFT calculation with GGA-PBE was carried out for an optimized crystal structure of CsHo2MgTe4.

Results
For the formation energy without anion corrections, the calculation gives -1.152 eV/atom. As for the symmetry: Cmcm (63).

Cell and atoms, written as extended XYZ:
```
16
Lattice="4.507 0.000 0.000 -2.254 7.853 0.000 0.000 0.000 15.820" Properties=species:S:1:pos:R:3 pbc="T T T"
Ho 2.254 1.931 7.054
Ho 0.000 5.922 8.767
Ho 0.000 5.922 14.964
Ho 2.254 1.931 0.856
Cs 0.000 1.844 11.865
Cs 2.254 6.009 3.955
Te 0.000 0.000 7.910
Te 0.000 4.036 1.605
Te 2.254 1.049 3.955
Te 2.254 3.817 9.515
Te 0.000 0.000 0.000
Te 0.000 4.036 6.305
Te 0.000 6.804 11.865
Te 2.254 3.817 14.215
Mg 2.254 5.218 11.865
Mg 0.000 2.635 3.955
```

---

A plane-wave DFT calculation with GGA-PBE was carried out for an optimized crystal structure of Li2AlCd2.

Results
As for the formation energy: -0.0923 eV/atom. For the polymorph energy (0 for the lowest one), the calculation gives 0.423 eV/f.u. As for the symmetry: P4/mbm (127).

Cell and atoms, written as extended XYZ:
```
10
Lattice="-1.476 -5.063 5.426 6.287 2.086 3.657 -1.703 2.256 1.641" Properties=species:S:1:pos:R:3 pbc="T T T"
Cd 2.058 0.043 2.076
Cd 4.876 -0.029 5.099
Cd 2.754 -3.020 7.007
Cd -0.065 -2.948 3.983
Al 2.406 -1.488 4.541
Al 0.000 0.000 0.000
Li 3.459 -0.458 7.473
Li -0.351 -0.263 3.251
Li 0.048 -2.417 6.626
Li 3.060 1.696 4.099
```

---

| no. | M_tot (Bohr magnetons per cell) |
| --- | --- |
| 1 | 0.03 |
| 2 | 0.00 |
| 3 | 0.00 |
| 4 | 0.00 |